(1)
{
  "formula": "ZrMn2Fe",
  "functional": "PBE",
  "state": "relaxed",
  "lattice_angstrom": [[3.135, 0.000, 0.000], [0.000, 4.309, 0.000], [0.000, 0.000, 8.866]],
  "species": ["Zr", "Zr", "Mn", "Mn", "Mn", "Mn", "Fe", "Fe"],
  "fractional_positions": [[0.000, 0.000, 0.000], [0.500, 0.500, 0.500], [0.000, 0.500, 0.223], [0.000, 0.500, 0.777], [0.500, 0.000, 0.277], [0.500, 0.000, 0.723], [0.000, 0.000, 0.500], [0.500, 0.500, 0.000]],
  "formation_enthalpy_0k_mev_per_atom": 146,
  "de_polymorph_ev_per_fu": 0.37
}



(2)
{
  "formula": "KBaP2",
  "functional": "PBE",
  "state": "relaxed",
  "lattice_angstrom": [[4.272, 0.000, 0.000], [0.000, 4.804, 0.000], [0.000, 0.000, 12.765]],
  "species": ["K", "K", "Ba", "Ba", "P", "P", "P", "P"],
  "fractional_positions": [[0.000, 0.000, 0.000], [0.500, 0.500, 0.500], [0.000, 0.500, 0.745], [0.500, 0.000, 0.245], [0.000, 0.000, 0.591], [0.000, 0.500, 0.179], [0.500, 0.000, 0.679], [0.500, 0.500, 0.091]],
  "formation_enthalpy_0k_mev_per_atom": -504,
  "de_polymorph_ev_per_fu": 0.56
}



(3)
{
  "formula": "SiTc3W",
  "functional": "PBE",
  "state": "relaxed",
  "lattice_angstrom": [[4.329, 0.000, 0.000], [0.000, 4.329, 0.000], [0.000, 0.000, 4.329]],
  "species": ["Si", "Tc", "Tc", "Tc", "W"],
  "fractional_positions": [[0.000, 0.000, 0.000], [0.000, 0.000, 0.500], [0.000, 0.500, 0.000], [0.500, 0.000, 0.000], [0.500, 0.500, 0.500]],
  "de_polymorph_ev_per_fu": 0.00
}



(4)
{
  "formula": "Tb4YHoS8",
  "functional": "PBE",
  "state": "relaxed",
  "lattice_angstrom": [[4.036, 2.330, 6.587], [-4.036, 2.330, 6.587], [0.000, -4.660, 6.587]],
  "species": ["Tb", "Tb", "Tb", "Tb", "Y", "Ho", "S", "S", "S", "S", "S", "S", "S", "S"],
  "fractional_positions": [[0.000, 0.000, 0.000], [0.126, 0.625, 0.625], [0.625, 0.126, 0.625], [0.625, 0.625, 0.126], [0.625, 0.625, 0.625], [0.250, 0.250, 0.250], [0.381, 0.381, 0.381], [0.382, 0.382, 0.855], [0.382, 0.855, 0.382], [0.398, 0.867, 0.867], [0.855, 0.382, 0.382], [0.867, 0.398, 0.867], [0.867, 0.867, 0.398], [0.867, 0.867, 0.867]],
  "total_energy_ev_per_cell": -89.7
}



(5)
{
  "formula": "NdDy4Lu",
  "functional": "PBE",
  "state": "relaxed",
  "lattice_angstrom": [[0.000, 4.638, 4.638], [4.638, 0.000, 4.638], [4.638, 4.638, 0.000]],
  "species": ["Nd", "Dy", "Dy", "Dy", "Dy", "Lu"],
  "fractional_positions": [[0.000, 0.000, 0.000], [0.125, 0.625, 0.625], [0.625, 0.125, 0.625], [0.625, 0.625, 0.125], [0.625, 0.625, 0.625], [0.250, 0.250, 0.250]],
  "formation_enthalpy_0k_mev_per_atom": 267
}